(1)
CsTiGaC2 | PBE | optimized geometry

- calculated formation energy (eV/f.u.) = 6.29

abc: 4.3425 4.3425 5.1774
angles: 90.00 90.00 90.00
Fractional coordinates of all 5 atoms:
Cs 0.0000 0.0000 0.0000
Ti 0.5000 0.5000 0.5000
Ga 0.5000 0.5000 0.0000
C 0.0000 0.5000 0.5000
C 0.5000 0.0000 0.5000

***

(2)
CsZr2GaC | PBE | optimized geometry

- calculated formation energy (eV/f.u.) = 3.88

abc: 4.8343 4.8343 4.3382
angles: 90.00 90.00 90.00
Fractional coordinates of all 5 atoms:
Cs 0.0000 0.0000 0.0000
Zr 0.0000 0.5000 0.5000
Zr 0.5000 0.0000 0.5000
Ga 0.5000 0.5000 0.0000
C 0.5000 0.5000 0.5000

***

(3)
Cs3GeC | PBE | optimized geometry

- calculated formation energy (eV/f.u.) = 6.27
- energy relative to the lowest polymorph listed for this composition (meV/atom) = 0

abc: 6.0285 6.0285 6.0285
angles: 90.00 90.00 90.00
Fractional coordinates of all 5 atoms:
Cs 0.0000 0.0000 0.5000
Cs 0.0000 0.5000 0.0000
Cs 0.5000 0.0000 0.0000
Ge 0.5000 0.5000 0.5000
C 0.0000 0.0000 0.0000

***

(4)
CsGeC2 | PBE | optimized geometry

- calculated formation energy (eV/f.u.) = 6.18

abc: 5.5140 5.5140 10.8473
angles: 90.00 90.00 90.00
Fractional coordinates of all 16 atoms:
Cs 0.0000 0.2500 0.3750
Cs 0.0000 0.7500 0.6250
Cs 0.5000 0.2500 0.1250
Cs 0.5000 0.7500 0.8750
Ge 0.0000 0.2500 0.8750
Ge 0.0000 0.7500 0.1250
Ge 0.5000 0.2500 0.6250
Ge 0.5000 0.7500 0.3750
C 0.0000 0.0000 0.0000
C 0.0000 0.5000 0.0000
C 0.2500 0.2500 0.7500
C 0.2500 0.7500 0.2500
C 0.5000 0.0000 0.5000
C 0.5000 0.5000 0.5000
C 0.7500 0.2500 0.7500
C 0.7500 0.7500 0.2500